This record from the Alexandria database describes Ca3Sb4Pd2 after structural relaxation. The functional is PBE-GGA.

Results
total energy = -39.9 eV/cell
calculated volume = 25.65 A^3/atom
density of states at the Fermi level = 3.40 states/eV/cell
space group = C2/m, No. 12

abc: 4.629 6.293 8.793
angles: 103.21 90.00 111.58
Atoms (fractional coordinates):
Ca: 0.624 0.248 0.695
Ca: 0.000 0.000 0.000
Ca: 0.376 0.752 0.305
Sb: 0.703 0.406 0.084
Sb: 0.297 0.594 0.916
Sb: 0.918 0.837 0.614
Sb: 0.082 0.163 0.386
Pd: 0.705 0.410 0.394
Pd: 0.295 0.590 0.606